K2SrRh: optimized geometry, PBE-GGA.

Unit cell a=5.3839 b=5.3951 c=11.1726 alpha=90.00 beta=90.00 gamma=90.00
Space group Cmmm (No. 65)
Asymmetric unit:
K1 0.0000 0.0000 0.1694 [4 per cell]
Sr1 0.0000 0.5000 0.5000 [2 per cell]
Rh1 0.0000 0.5000 0.0000 [2 per cell]

Results
**Crystal system**: orthorhombic
**Calculated density**: 2.75 g cm⁻³
**ΔH_f (0 K)**: 0.63 eV per atom
**M_tot**: 0.81 μB/cell
**DFT total energy**: -17.38 eV per cell